Computed, not measured: an optimized crystal structure of BaTl3I at the PBE level of DFT.

Computed properties:
E = -2.125 eV/atom
SG = Pm-3m
E above lowest polymorph = 0 meV per atom

a b c (Å): 6.310 6.310 6.310
angles (deg): 90.00 90.00 90.00
Positions (direct):
Ba (0.000, 0.000, 0.000)
Tl (0.000, 0.500, 0.500)
Tl (0.500, 0.000, 0.500)
Tl (0.500, 0.500, 0.000)
I (0.500, 0.500, 0.500)